Entry 1:
## K2BaTe (SCAN)

Data for a PBEsol-optimized structure of K2BaTe.

```
data_K2BaTe
_chemical_formula_sum 'K4 Ba2 Te2'
_space_group_name_H-M_alt 'P 1'
_space_group_IT_number 1
_space_group_name_Hall 'P 1'
_cell_length_a 5.366
_cell_length_b 5.366
_cell_length_c 11.368
_cell_angle_alpha 90.00
_cell_angle_beta 90.00
_cell_angle_gamma 90.00
loop_
_atom_site_label
_atom_site_type_symbol
_atom_site_fract_x
_atom_site_fract_y
_atom_site_fract_z
K1 K 0.000 0.000 0.000
K2 K 0.000 0.500 0.250
K3 K 0.500 0.000 0.750
K4 K 0.500 0.500 0.500
Ba1 Ba 0.000 0.500 0.750
Ba2 Ba 0.500 0.000 0.250
Te1 Te 0.000 0.000 0.500
Te2 Te 0.500 0.500 0.000
```

Properties
Its total energy is -191.65 eV/cell. The value obtained for the density of states at the Fermi level is 3.029 states/eV/cell. The value obtained for the formation energy from raw total energies is -591 meV/atom. Its space group is I-4m2 (119).

---

Entry 2:
## Cr3AgGe (SCAN)

Data for a PBEsol-optimized structure of Cr3AgGe.

```
data_Cr3AgGe
_chemical_formula_sum 'Cr3 Ag1 Ge1'
_space_group_name_H-M_alt 'P 1'
_space_group_IT_number 1
_space_group_name_Hall 'P 1'
_cell_length_a 4.823
_cell_length_b 4.823
_cell_length_c 4.823
_cell_angle_alpha 90.00
_cell_angle_beta 90.00
_cell_angle_gamma 90.00
loop_
_atom_site_label
_atom_site_type_symbol
_atom_site_fract_x
_atom_site_fract_y
_atom_site_fract_z
Cr1 Cr 0.000 0.000 0.500
Cr2 Cr 0.000 0.500 0.000
Cr3 Cr 0.500 0.000 0.000
Ag1 Ag 0.000 0.000 0.000
Ge1 Ge 0.500 0.500 0.500
```

Properties
Its total energy is -99.28 eV/cell. The energy above the lowest structure with this stoichiometry is 0.5299 eV/atom. The value obtained for the density of states at the Fermi level is 5.788 states/eV/cell. Its space group is Pm-3m (221). For the formation energy, the calculation gives 122.1 kJ/mol of atoms.

---

Entry 3:
## CsZr6I14 (SCAN)

Data for a PBEsol-optimized structure of CsZr6I14.

```
data_CsZr6I14
_chemical_formula_sum 'Cs2 Zr12 I28'
_space_group_name_H-M_alt 'P 1'
_space_group_IT_number 1
_space_group_name_Hall 'P 1'
_cell_length_a 10.618
_cell_length_b 10.618
_cell_length_c 12.885
_cell_angle_alpha 90.00
_cell_angle_beta 90.00
_cell_angle_gamma 83.56
loop_
_atom_site_label
_atom_site_type_symbol
_atom_site_fract_x
_atom_site_fract_y
_atom_site_fract_z
Cs1 Cs 0.000 0.000 0.000
Cs2 Cs 0.500 0.500 0.500
Zr1 Zr 0.044 0.184 0.615
Zr2 Zr 0.115 0.885 0.585
Zr3 Zr 0.184 0.044 0.385
Zr4 Zr 0.316 0.456 0.885
Zr5 Zr 0.385 0.615 0.085
Zr6 Zr 0.456 0.316 0.115
Zr7 Zr 0.544 0.684 0.885
Zr8 Zr 0.615 0.385 0.915
Zr9 Zr 0.684 0.544 0.115
Zr10 Zr 0.816 0.956 0.615
Zr11 Zr 0.885 0.115 0.415
Zr12 Zr 0.956 0.816 0.385
I1 I 0.034 0.213 0.253
I2 I 0.095 0.405 0.750
I3 I 0.118 0.634 0.497
I4 I 0.134 0.618 0.997
I5 I 0.163 0.837 0.239
I6 I 0.213 0.034 0.747
I7 I 0.244 0.244 0.000
I8 I 0.256 0.256 0.500
I9 I 0.287 0.466 0.247
I10 I 0.337 0.663 0.739
I11 I 0.366 0.882 0.497
I12 I 0.382 0.866 0.997
I13 I 0.405 0.095 0.250
I14 I 0.466 0.287 0.753
I15 I 0.534 0.713 0.247
I16 I 0.595 0.905 0.750
I17 I 0.618 0.134 0.003
I18 I 0.634 0.118 0.503
I19 I 0.663 0.337 0.261
I20 I 0.713 0.534 0.753
I21 I 0.744 0.744 0.500
I22 I 0.756 0.756 0.000
I23 I 0.787 0.966 0.253
I24 I 0.837 0.163 0.761
I25 I 0.866 0.382 0.003
I26 I 0.882 0.366 0.503
I27 I 0.905 0.595 0.250
I28 I 0.966 0.787 0.747
```

Properties
Its total energy is -1514.92 eV/cell. The value obtained for the density of states at the Fermi level is 14.714 states/eV/cell. The value obtained for the formation energy from raw total energies is -1004 meV/atom. Its space group is Cmce (64).

---

Entry 4:
## LaSiSb2 (SCAN)

Data for a PBEsol-optimized structure of LaSiSb2.

```
data_LaSiSb2
_chemical_formula_sum 'La1 Si1 Sb2'
_space_group_name_H-M_alt 'P 1'
_space_group_IT_number 1
_space_group_name_Hall 'P 1'
_cell_length_a 4.334
_cell_length_b 4.231
_cell_length_c 6.364
_cell_angle_alpha 90.00
_cell_angle_beta 109.02
_cell_angle_gamma 90.00
loop_
_atom_site_label
_atom_site_type_symbol
_atom_site_fract_x
_atom_site_fract_y
_atom_site_fract_z
La1 La 0.000 0.000 0.000
Si1 Si 0.439 0.500 0.797
Sb1 Sb 0.231 0.000 0.551
Sb2 Sb 0.594 0.500 0.218
```

Properties
Its total energy is -129.48 eV/cell. The value obtained for the density of states at the Fermi level is 1.237 states/eV/cell. The value obtained for the formation energy from raw total energies is -460 meV/atom. Its space group is Pm (6).

---

Repeat the second record exactly.
## Cr3AgGe (SCAN)

Data for a PBEsol-optimized structure of Cr3AgGe.

```
data_Cr3AgGe
_chemical_formula_sum 'Cr3 Ag1 Ge1'
_space_group_name_H-M_alt 'P 1'
_space_group_IT_number 1
_space_group_name_Hall 'P 1'
_cell_length_a 4.823
_cell_length_b 4.823
_cell_length_c 4.823
_cell_angle_alpha 90.00
_cell_angle_beta 90.00
_cell_angle_gamma 90.00
loop_
_atom_site_label
_atom_site_type_symbol
_atom_site_fract_x
_atom_site_fract_y
_atom_site_fract_z
Cr1 Cr 0.000 0.000 0.500
Cr2 Cr 0.000 0.500 0.000
Cr3 Cr 0.500 0.000 0.000
Ag1 Ag 0.000 0.000 0.000
Ge1 Ge 0.500 0.500 0.500
```

Properties
Its total energy is -99.28 eV/cell. The energy above the lowest structure with this stoichiometry is 0.5299 eV/atom. The value obtained for the density of states at the Fermi level is 5.788 states/eV/cell. Its space group is Pm-3m (221). For the formation energy, the calculation gives 122.1 kJ/mol of atoms.